Entry 1:
## VP2CO (PBE+U)

Data for a relaxed VP2CO crystal.

- Relative energy among the computed polymorphs: 0 meV per atom
- SG: P4/mmm (123)

Unit cell a=3.933 b=3.933 c=3.643 alpha=90.00 beta=90.00 gamma=90.00
Fractional coordinates of all 5 atoms:
V1 0.000 0.000 0.000
P1 0.000 0.500 0.500
P2 0.500 0.000 0.500
C1 0.500 0.500 0.500
O1 0.500 0.500 0.000

=====

Entry 2:
## VP2CO (PBE+U)

Data for a relaxed VP2CO crystal.

- Relative energy among the computed polymorphs: 136 meV per atom
- SG: P4/mmm (123)

Unit cell a=4.634 b=4.634 c=3.562 alpha=90.00 beta=90.00 gamma=90.00
Fractional coordinates of all 5 atoms:
V1 0.000 0.000 0.000
P1 0.000 0.500 0.000
P2 0.500 0.000 0.000
C1 0.500 0.500 0.500
O1 0.000 0.000 0.500